Entry 1:
Here is a relaxed Li2Ac3GaPd9 crystal from the Alexandria database. Energies are from PBE-GGA.

Output
E = -4.98 eV per atom
formation energy from the elements = -0.58 eV per atom

```
Li2Ac3GaPd9
1.0
6.124 0.000 0.000
-3.062 5.303 0.000
0.000 0.000 9.376
Li Ac Ga Pd
2 3 1 9
Cartesian
0.000 3.535 1.462
3.062 1.768 7.914
0.000 0.000 0.000
0.000 3.535 6.349
3.062 1.768 3.027
0.000 0.000 4.688
-1.531 2.652 0.000
0.000 1.752 2.955
-1.544 4.427 2.955
1.518 0.876 6.421
3.062 0.000 0.000
1.531 2.652 0.000
1.544 4.427 2.955
4.606 0.876 6.421
3.062 3.551 6.421
```



Entry 2:
Here is a relaxed Ca2CdRhO5 crystal from the Alexandria database. Energies are from PBE-GGA.

Output
raw formation energy = -1631 meV/atom
E = -5.75 eV per atom

```
Ca2CdRhO5
1.0
-1.874 2.903 5.565
1.874 -2.903 5.565
1.874 2.903 -5.565
Ca Cd Rh O
2 1 1 5
Cartesian
0.000 0.000 2.392
0.000 0.000 8.739
0.000 2.903 0.000
1.874 0.000 0.000
0.000 0.000 0.000
1.874 1.427 -1.449
1.874 1.427 1.449
0.000 1.476 4.116
0.000 1.476 7.014
```



Entry 3:
Here is a relaxed BaNbSe2 crystal from the Alexandria database. Energies are from PBE-GGA.

Output
raw formation energy = -768 meV/atom
E = -5.51 eV per atom
distance to the lowest polymorph of the same formula = 111 meV/atom

```
BaNbSe2
1.0
-3.128 3.128 7.033
3.128 -3.128 7.033
3.128 3.128 -7.033
Ba Nb Se
2 2 4
Cartesian
0.000 0.000 0.000
0.000 3.128 3.516
3.128 0.000 3.516
0.000 0.000 7.033
1.564 -0.944 5.275
2.184 1.564 1.758
1.564 4.072 -1.758
0.944 1.564 8.791
```



Entry 4:
Here is a relaxed Ca2C3N6 crystal from the Alexandria database. Energies are from PBE-GGA.

Output
raw formation energy = -340 meV/atom
E = -7.76 eV per atom

```
Ca2C3N6
1.0
7.358 -1.921 0.000
7.358 1.921 0.000
-0.829 0.000 5.433
Ca C N
2 3 6
Cartesian
1.986 0.000 0.322
11.901 0.000 5.111
-0.415 0.000 2.716
4.527 0.000 2.352
9.360 0.000 3.081
-0.528 0.000 3.941
4.516 0.000 1.113
4.532 0.000 3.578
9.355 0.000 1.855
9.371 0.000 4.320
14.415 0.000 1.492
```



Here are the calculated DOS(E_F) numbers, same order: 0.23, 0.58, 1.00, 0.31 (states/eV/atom).